# PBE-GGA HoBi3O6, optimized geometry
# spin magnetization: 0.0 μB per cell
# relative energy among the computed polymorphs: 0.03 eV per formula unit
# raw formation energy: -1.78 eV/atom
data_HoBi3O6
_space_group_name_H-M_alt 'P 1 21/c 1'
_space_group_IT_number 14
_cell_length_a 5.861
_cell_length_b 6.353
_cell_length_c 10.342
_cell_angle_alpha 90.00
_cell_angle_beta 124.11
_cell_angle_gamma 90.00
loop_
_space_group_symop_operation_xyz
'x,y,z'
'-x,-y,-z'
'-x,y+1/2,-z+1/2'
'x,-y+1/2,z+1/2'
loop_
_atom_site_label
_atom_site_fract_x
_atom_site_fract_y
_atom_site_fract_z
Ho1 0.000 0.000 0.000
Bi1 0.265 0.032 0.754
Bi2 0.500 0.000 0.500
O1 0.090 0.063 0.243
O2 0.230 0.688 0.075
O3 0.395 0.169 0.064

# PBE-GGA Na2TlO, optimized geometry
# spin magnetization: 0.5 μB per cell
# relative energy among the computed polymorphs: 0.21 eV per formula unit
# raw formation energy: -0.72 eV/atom
data_Na2TlO
_space_group_name_H-M_alt 'R -3 m'
_space_group_IT_number 166
_space_group_name_Hall '-R 3 2"'
_cell_length_a 3.5270
_cell_length_b 3.5270
_cell_length_c 28.1994
_cell_angle_alpha 90.00
_cell_angle_beta 90.00
_cell_angle_gamma 120.00
loop_
_atom_site_label
_atom_site_fract_x
_atom_site_fract_y
_atom_site_fract_z
Na1 0.0000 0.0000 0.1302
Tl1 0.0000 0.0000 0.0000
O1 0.0000 0.0000 0.5000